(1)
# Fe6Pd8Rh (PBE, relaxed)
data_Fe6Pd8Rh
_cell_length_a 6.7107
_cell_length_b 6.7107
_cell_length_c 6.7107
_cell_angle_alpha 61.04
_cell_angle_beta 61.04
_cell_angle_gamma 61.04
_symmetry_space_group_name_H-M 'P 1'
_symmetry_Int_Tables_number 1
loop_
_symmetry_equiv_pos_as_xyz
'x,y,z'
loop_
_atom_site_label
_atom_site_fract_x
_atom_site_fract_y
_atom_site_fract_z
Pd1 0.8292 0.1285 0.6530
Pd2 0.8715 0.3470 0.1708
Fe1 0.2812 0.0495 0.5398
Pd3 0.6530 0.8292 0.1285
Fe2 0.5398 0.2812 0.0495
Pd4 0.4110 0.4110 0.4110
Pd5 0.1285 0.6530 0.8292
Fe3 0.7188 0.9505 0.4602
Pd6 0.3470 0.1708 0.8715
Pd7 0.5890 0.5890 0.5890
Pd8 0.1708 0.8715 0.3470
Rh1 0.0000 0.0000 0.0000
Fe4 0.4602 0.7188 0.9505
Fe5 0.9505 0.4602 0.7188
Fe6 0.0495 0.5398 0.2812
# Calculated volume = 218.68 Å³/f.u.
# DFT formation energy = 0.049 eV per atom
# Excess energy over the best structure of this formula in the dataset = 0.000 eV/atom


(2)
# YReW (PBE, relaxed)
data_YReW
_cell_length_a 7.5168
_cell_length_b 7.3095
_cell_length_c 2.9011
_cell_angle_alpha 82.76
_cell_angle_beta 74.72
_cell_angle_gamma 22.51
_symmetry_space_group_name_H-M 'P 1'
_symmetry_Int_Tables_number 1
loop_
_symmetry_equiv_pos_as_xyz
'x,y,z'
loop_
_atom_site_label
_atom_site_fract_x
_atom_site_fract_y
_atom_site_fract_z
W1 0.3477 0.3477 0.6523
Re1 0.9885 0.9885 0.0115
Y1 0.6638 0.6638 0.3362
# Calculated volume = 55.82 Å³/f.u.
# DFT formation energy = 0.448 eV per atom
# Excess energy over the best structure of this formula in the dataset = 0.526 eV/atom


(3)
# ZnCdCo2 (PBE, relaxed)
data_ZnCdCo2
_cell_length_a 4.9360
_cell_length_b 4.9360
_cell_length_c 4.9360
_cell_angle_alpha 141.95
_cell_angle_beta 129.89
_cell_angle_gamma 64.61
_symmetry_space_group_name_H-M 'P 1'
_symmetry_Int_Tables_number 1
loop_
_symmetry_equiv_pos_as_xyz
'x,y,z'
loop_
_atom_site_label
_atom_site_fract_x
_atom_site_fract_y
_atom_site_fract_z
Co1 0.0093 0.0093 0.0000
Co2 0.4907 0.4907 0.0000
Cd1 0.7500 0.2500 0.5000
Zn1 0.2500 0.7500 0.5000
# Calculated volume = 56.13 Å³/f.u.
# DFT formation energy = 0.266 eV per atom


(4)
# Sm3BRh4 (PBE, relaxed)
data_Sm3BRh4
_cell_length_a 5.9924
_cell_length_b 5.9924
_cell_length_c 5.9924
_cell_angle_alpha 105.25
_cell_angle_beta 99.77
_cell_angle_gamma 124.55
_symmetry_space_group_name_H-M 'P 1'
_symmetry_Int_Tables_number 1
loop_
_symmetry_equiv_pos_as_xyz
'x,y,z'
loop_
_atom_site_label
_atom_site_fract_x
_atom_site_fract_y
_atom_site_fract_z
B1 0.0069 0.5000 0.5069
Rh1 0.0598 0.7508 0.3089
Rh2 0.2109 0.3160 0.5270
Sm1 0.9560 0.0000 0.9560
Sm2 0.5741 0.7584 0.3325
Rh3 0.2109 0.6840 0.8949
Rh4 0.5581 0.2492 0.3089
Sm3 0.5741 0.2416 0.8158
# Calculated volume = 156.60 Å³/f.u.
# DFT formation energy = -0.530 eV per atom


What did the third record say?
# ZnCdCo2 (PBE, relaxed)
data_ZnCdCo2
_cell_length_a 4.9360
_cell_length_b 4.9360
_cell_length_c 4.9360
_cell_angle_alpha 141.95
_cell_angle_beta 129.89
_cell_angle_gamma 64.61
_symmetry_space_group_name_H-M 'P 1'
_symmetry_Int_Tables_number 1
loop_
_symmetry_equiv_pos_as_xyz
'x,y,z'
loop_
_atom_site_label
_atom_site_fract_x
_atom_site_fract_y
_atom_site_fract_z
Co1 0.0093 0.0093 0.0000
Co2 0.4907 0.4907 0.0000
Cd1 0.7500 0.2500 0.5000
Zn1 0.2500 0.7500 0.5000
# Calculated volume = 56.13 Å³/f.u.
# DFT formation energy = 0.266 eV per atom